VASP calculation (SCAN) on a crystal of RbNbIr3 relaxed with PBEsol.

Properties
As for the density: 11.0 g cm⁻³. The calculated volume comes out at 113.95 Å³/cell. The calculation puts the total energy at -260.42 eV/cell. The calculation puts the total moment at 0.00 μB/cell. The value obtained for the energy of formation is 1.3494 eV/atom.

Unit cell a=4.8480 b=4.8480 c=4.8480 alpha=90.00 beta=90.00 gamma=90.00
Space group Pm-3m (No. 221)
One atom of each set of equivalent atoms:
Rb (0.0000, 0.0000, 0.0000) [1 per cell]
Nb (0.5000, 0.5000, 0.5000) [1 per cell]
Ir (0.0000, 0.5000, 0.5000) [3 per cell]